(1)
The following is a meta-GGA SCAN calculation of a crystal of Sr2BC relaxed with PBEsol, from Alexandria via LeMat-Bulk.

Values from the calculation:
symmetry = Fm-3m (225)
total magnetization = 0.215 μB/atom
calculated formation energy = 1.08 eV/atom

Unit cell a=4.7677 b=4.7677 c=4.7677 alpha=60.00 beta=60.00 gamma=60.00
Last column: nearest neighbours and their distance in Å.
Positions (direct):
Sr1 0.7500 0.7500 0.7500  4 C 2.92, 4 B 2.92
Sr2 0.2500 0.2500 0.2500  4 B 2.92, 4 C 2.92
C1 0.5000 0.5000 0.5000  8 Sr 2.92
B1 0.0000 0.0000 0.0000  8 Sr 2.92

***

(2)
The following is a meta-GGA SCAN calculation of a crystal of SrBC3 relaxed with PBEsol, from Alexandria via LeMat-Bulk.

Values from the calculation:
symmetry = Pm-3m (221)
total magnetization = 0.102 μB/atom
calculated formation energy = 4.61 eV/atom

Unit cell a=4.5988 b=4.5988 c=4.5988 alpha=90.00 beta=90.00 gamma=90.00
Last column: nearest neighbours and their distance in Å.
Positions (direct):
C1 0.0000 0.5000 0.0000  2 Sr 2.30
C2 0.0000 0.0000 0.5000  2 Sr 2.30
C3 0.5000 0.0000 0.0000  2 Sr 2.30
B1 0.5000 0.5000 0.5000  12 C 3.25
Sr1 0.0000 0.0000 0.0000  6 C 2.30

***

(3)
The following is a meta-GGA SCAN calculation of a crystal of Ta2BC relaxed with PBEsol, from Alexandria via LeMat-Bulk.

Values from the calculation:
symmetry = I-42d (122)
total magnetization = 0.000 μB/atom
calculated formation energy = 0.19 eV/atom

Unit cell a=4.8703 b=4.8703 c=5.9892 alpha=113.99 beta=113.99 gamma=90.00
Last column: nearest neighbours and their distance in Å.
Positions (direct):
B1 0.5000 0.5000 0.0000  4 Ta 2.16
B2 0.7500 0.2500 0.5000  4 Ta 2.16
Ta1 0.3603 0.8750 0.2500  2 C 2.07, 2 B 2.16
Ta2 0.1250 0.1103 0.7500  2 C 2.07, 2 B 2.16
Ta3 0.6250 0.6397 0.7500  2 C 2.07, 2 B 2.16
Ta4 0.8897 0.3750 0.2500  2 C 2.07, 2 B 2.16
C1 0.0000 0.0000 0.0000  4 Ta 2.07
C2 0.2500 0.7500 0.5000  4 Ta 2.07